(1)
An optimized crystal structure of CsTl2Te2Se6. Source: the Alexandria database, functional PBE.

a = 7.015 Å, b = 7.325 Å, c = 9.068 Å
α = 107.20°, β = 101.81°, γ = 98.72°
Sites, in units of the cell vectors:
1 Cs 0.000 0.000 0.000
2 Tl 0.273 0.676 0.588
3 Tl 0.727 0.324 0.412
4 Te 0.316 0.572 0.133
5 Te 0.684 0.428 0.867
6 Se 0.000 0.408 0.775
7 Se 0.000 0.592 0.225
8 Se 0.411 0.286 0.603
9 Se 0.488 0.063 0.891
10 Se 0.512 0.937 0.109
11 Se 0.589 0.714 0.397

For the total energy, the calculation gives -3.236 eV/atom. The size of the total moment comes out at 0.00 μB per formula unit. The calculation puts the density of states at the Fermi level at 3.86 states/eV per cell. For the density, the calculation gives 4.97 g cm⁻³. Its space-group type is No. 2.


(2)
An optimized crystal structure of YNp2Te5. Source: the Alexandria database, functional PBE.

a = 7.415 Å, b = 7.415 Å, c = 5.367 Å
α = 90.00°, β = 90.00°, γ = 90.00°
Sites, in units of the cell vectors:
1 Y 0.000 0.000 0.000
2 Np 0.000 0.500 0.500
3 Np 0.500 0.000 0.500
4 Te 0.000 0.000 0.500
5 Te 0.281 0.281 0.000
6 Te 0.281 0.719 0.000
7 Te 0.719 0.281 0.000
8 Te 0.719 0.719 0.000

For the total energy, the calculation gives -6.162 eV/atom. The size of the total moment comes out at 8.69 μB per formula unit. The calculation puts the density of states at the Fermi level at 18.27 states/eV per cell. For the density, the calculation gives 6.76 g cm⁻³. Its space-group type is No. 123.


(3)
An optimized crystal structure of SmCdSn. Source: the Alexandria database, functional PBE.

a = 9.233 Å, b = 9.233 Å, c = 4.857 Å
α = 90.00°, β = 90.00°, γ = 153.72°
Sites, in units of the cell vectors:
1 Sm 0.166 0.834 0.750
2 Sm 0.834 0.166 0.250
3 Cd 0.038 0.962 0.250
4 Cd 0.962 0.038 0.750
5 Sn 0.343 0.657 0.750
6 Sn 0.657 0.343 0.250

For the total energy, the calculation gives -3.561 eV/atom. The size of the total moment comes out at 0.00 μB per formula unit. The formation energy is -349 meV per atom. The calculation puts the density of states at the Fermi level at 5.14 states/eV per cell. For the density, the calculation gives 6.91 g cm⁻³. Its space-group type is No. 63.


(4)
An optimized crystal structure of Tc2TeMo. Source: the Alexandria database, functional PBE.

a = 3.163 Å, b = 3.163 Å, c = 6.650 Å
α = 90.00°, β = 90.00°, γ = 90.00°
Sites, in units of the cell vectors:
1 Tc 0.000 0.000 0.232
2 Tc 0.000 0.000 0.768
3 Te 0.500 0.500 0.500
4 Mo 0.500 0.500 0.000

For the total energy, the calculation gives -8.445 eV/atom. The size of the total moment comes out at 0.00 μB per formula unit. The calculation puts the density of states at the Fermi level at 1.91 states/eV per cell. For the density, the calculation gives 10.47 g cm⁻³. Its space-group type is No. 123.


(5)
An optimized crystal structure of CeTm2Tl. Source: the Alexandria database, functional PBE.

a = 3.529 Å, b = 3.529 Å, c = 9.023 Å
α = 90.00°, β = 90.00°, γ = 90.00°
Sites, in units of the cell vectors:
1 Ce 0.000 0.000 0.000
2 Tm 0.500 0.500 0.265
3 Tm 0.500 0.500 0.735
4 Tl 0.000 0.000 0.500

For the total energy, the calculation gives -4.443 eV/atom. The size of the total moment comes out at 0.38 μB per formula unit. The formation energy is -133 meV per atom. The calculation puts the density of states at the Fermi level at 5.94 states/eV per cell. The distance to the lowest polymorph of the same formula comes out at 0.000 eV/f.u. For the density, the calculation gives 10.08 g cm⁻³. Its space-group type is No. 123.


(6)
An optimized crystal structure of AlAs. Source: the Alexandria database, functional PBE.

a = 5.992 Å, b = 5.992 Å, c = 5.992 Å
α = 43.49°, β = 43.49°, γ = 43.49°
Sites, in units of the cell vectors:
1 Al 0.120 0.120 0.120
2 Al 0.880 0.880 0.880
3 As 0.423 0.423 0.423
4 As 0.577 0.577 0.577

For the total energy, the calculation gives -4.067 eV/atom. The size of the total moment comes out at 0.00 μB per formula unit. The formation energy is 129 meV per atom. The calculation puts the density of states at the Fermi level at 0.78 states/eV per cell. For the density, the calculation gives 3.66 g cm⁻³. Its space-group type is No. 166.


(7)
An optimized crystal structure of Pm2P3Ir4Pt. Source: the Alexandria database, functional PBE.

a = 4.142 Å, b = 4.142 Å, c = 10.128 Å
α = 90.00°, β = 90.00°, γ = 90.00°
Sites, in units of the cell vectors:
1 Pm 0.000 0.500 0.247
2 Pm 0.500 0.000 0.753
3 P 0.000 0.000 0.000
4 P 0.000 0.500 0.632
5 P 0.500 0.000 0.368
6 Ir 0.000 0.000 0.500
7 Ir 0.000 0.500 0.854
8 Ir 0.500 0.000 0.146
9 Ir 0.500 0.500 0.500
10 Pt 0.500 0.500 0.000

For the total energy, the calculation gives -7.530 eV/atom. The size of the total moment comes out at 0.00 μB per formula unit. The formation energy is -808 meV per atom. The calculation puts the density of states at the Fermi level at 5.14 states/eV per cell. For the density, the calculation gives 12.87 g cm⁻³. Its space-group type is No. 115.


(8)
An optimized crystal structure of W5Au. Source: the Alexandria database, functional PBE.

a = 5.249 Å, b = 5.249 Å, c = 5.249 Å
α = 60.00°, β = 60.00°, γ = 60.00°
Sites, in units of the cell vectors:
1 W 0.000 0.000 0.000
2 W 0.375 0.375 0.375
3 W 0.375 0.375 0.874
4 W 0.375 0.874 0.375
5 W 0.874 0.375 0.375
6 Au 0.750 0.750 0.750

For the total energy, the calculation gives -10.843 eV/atom. The size of the total moment comes out at 0.00 μB per formula unit. The formation energy is 498 meV per atom. The calculation puts the density of states at the Fermi level at 4.42 states/eV per cell. The distance to the lowest polymorph of the same formula comes out at 0.609 eV/f.u. For the density, the calculation gives 18.12 g cm⁻³. Its space-group type is No. 216.